[1]
A plane-wave DFT calculation with GGA-PBE was carried out for a geometry-optimized Zr2Mo4C3S3 structure.

Summary:
calculated total energy: -8.94 eV/atom
total magnetic moment: 0.01 μB per formula unit
crystal system: monoclinic
SG: No. 15

Cell lengths 5.6929, 5.6929, 12.2666 Å; angles 102.81, 102.81, 59.91 degrees
With the nearest neighbours (Å) after each atom.
Fractional coordinates of all 24 atoms:
C  0.5000  0.0000  0.0000  4 Mo 2.12-2.14, 2 Zr 2.32
C  0.1522  0.6733  0.0006  4 Mo 2.13-2.15, 2 Zr 2.34
C  0.3267  0.8478  0.4994  4 Mo 2.13-2.15, 2 Zr 2.34
C  0.0000  0.5000  0.5000  4 Mo 2.12-2.14, 2 Zr 2.32
C  0.6733  0.1522  0.5006  4 Mo 2.13-2.15, 2 Zr 2.34
C  0.8478  0.3267  0.9994  4 Mo 2.13-2.15, 2 Zr 2.34
Mo  0.8506  0.6953  0.0855  3 C 2.12-2.14
Mo  0.2016  0.0184  0.0861  3 C 2.13-2.15
Mo  0.9816  0.7984  0.4139  3 C 2.13-2.15
Mo  0.3047  0.1494  0.4145  3 C 2.12-2.14
Mo  0.6953  0.8506  0.5855  3 C 2.12-2.14
Mo  0.0184  0.2016  0.5861  3 C 2.13-2.15
Mo  0.7984  0.9816  0.9139  3 C 2.13-2.15
Mo  0.1494  0.3047  0.9145  3 C 2.12-2.14
S  0.5828  0.7765  0.2485  4 Mo 2.60-2.72, 2 Zr 2.63-2.65
S  0.9428  0.0572  0.2500  2 Zr 2.64, 4 Mo 2.66-2.71
S  0.2235  0.4172  0.2515  4 Mo 2.60-2.72, 2 Zr 2.63-2.65
S  0.7765  0.5828  0.7485  4 Mo 2.60-2.72, 2 Zr 2.63-2.65
S  0.0572  0.9428  0.7500  2 Zr 2.64, 4 Mo 2.66-2.71
S  0.4172  0.2235  0.7515  4 Mo 2.60-2.72, 2 Zr 2.63-2.65
Zr  0.5376  0.3717  0.1096  3 C 2.32-2.34
Zr  0.6283  0.4624  0.3904  3 C 2.32-2.34
Zr  0.3717  0.5376  0.6096  3 C 2.32-2.34
Zr  0.4624  0.6283  0.8904  3 C 2.32-2.34

***

[2]
A plane-wave DFT calculation with GGA-PBE was carried out for a geometry-optimized Zr4Mo2C3S3 structure.

Summary:
calculated total energy: -8.94 eV/atom
total magnetic moment: 0.01 μB per formula unit
crystal system: monoclinic
SG: No. 15

Cell lengths 5.8130, 5.8130, 12.4508 Å; angles 103.27, 103.27, 60.02 degrees
With the nearest neighbours (Å) after each atom.
Fractional coordinates of all 24 atoms:
C  0.5000  0.0000  0.0000  2 Mo 2.14, 4 Zr 2.31
C  0.8252  0.3375  0.0002  2 Mo 2.16, 4 Zr 2.32
C  0.6625  0.1748  0.4998  2 Mo 2.16, 4 Zr 2.32
C  0.0000  0.5000  0.5000  2 Mo 2.14, 4 Zr 2.31
C  0.3375  0.8252  0.5002  2 Mo 2.16, 4 Zr 2.32
C  0.1748  0.6625  0.9998  2 Mo 2.16, 4 Zr 2.32
Mo  0.5265  0.3538  0.0826  3 C 2.14-2.16
Mo  0.6462  0.4735  0.4174  3 C 2.14-2.16
Mo  0.3538  0.5265  0.5826  3 C 2.14-2.16
Mo  0.4735  0.6462  0.9174  3 C 2.14-2.16
S  0.5833  0.7292  0.2493  4 Zr 2.66-2.67, 2 Mo 2.69-2.74
S  0.8934  0.1066  0.2500  4 Zr 2.65-2.66, 2 Mo 2.69
S  0.2708  0.4167  0.2507  4 Zr 2.66-2.67, 2 Mo 2.69-2.74
S  0.7292  0.5833  0.7493  4 Zr 2.66-2.67, 2 Mo 2.69-2.74
S  0.1066  0.8934  0.7500  4 Zr 2.65-2.66, 2 Mo 2.69
S  0.4167  0.2708  0.7507  4 Zr 2.66-2.67, 2 Mo 2.69-2.74
Zr  0.1976  0.0384  0.1041  3 C 2.31-2.32
Zr  0.8708  0.7017  0.1044  3 C 2.31-2.32
Zr  0.2983  0.1292  0.3956  3 C 2.31-2.32
Zr  0.9616  0.8024  0.3959  3 C 2.31-2.32
Zr  0.0384  0.1976  0.6041  3 C 2.31-2.32
Zr  0.7017  0.8708  0.6044  3 C 2.31-2.32
Zr  0.1292  0.2983  0.8956  3 C 2.31-2.32
Zr  0.8024  0.9616  0.8959  3 C 2.31-2.32

***

> What is the formula in the first record?

Zr2Mo4C3S3

***

> Which formula does entry 1 have?

Zr2Mo4C3S3

***

Please write out number 1 again, unchanged.
A plane-wave DFT calculation with GGA-PBE was carried out for a geometry-optimized Zr2Mo4C3S3 structure.

Summary:
calculated total energy: -8.94 eV/atom
total magnetic moment: 0.01 μB per formula unit
crystal system: monoclinic
SG: No. 15

Cell lengths 5.6929, 5.6929, 12.2666 Å; angles 102.81, 102.81, 59.91 degrees
With the nearest neighbours (Å) after each atom.
Fractional coordinates of all 24 atoms:
C  0.5000  0.0000  0.0000  4 Mo 2.12-2.14, 2 Zr 2.32
C  0.1522  0.6733  0.0006  4 Mo 2.13-2.15, 2 Zr 2.34
C  0.3267  0.8478  0.4994  4 Mo 2.13-2.15, 2 Zr 2.34
C  0.0000  0.5000  0.5000  4 Mo 2.12-2.14, 2 Zr 2.32
C  0.6733  0.1522  0.5006  4 Mo 2.13-2.15, 2 Zr 2.34
C  0.8478  0.3267  0.9994  4 Mo 2.13-2.15, 2 Zr 2.34
Mo  0.8506  0.6953  0.0855  3 C 2.12-2.14
Mo  0.2016  0.0184  0.0861  3 C 2.13-2.15
Mo  0.9816  0.7984  0.4139  3 C 2.13-2.15
Mo  0.3047  0.1494  0.4145  3 C 2.12-2.14
Mo  0.6953  0.8506  0.5855  3 C 2.12-2.14
Mo  0.0184  0.2016  0.5861  3 C 2.13-2.15
Mo  0.7984  0.9816  0.9139  3 C 2.13-2.15
Mo  0.1494  0.3047  0.9145  3 C 2.12-2.14
S  0.5828  0.7765  0.2485  4 Mo 2.60-2.72, 2 Zr 2.63-2.65
S  0.9428  0.0572  0.2500  2 Zr 2.64, 4 Mo 2.66-2.71
S  0.2235  0.4172  0.2515  4 Mo 2.60-2.72, 2 Zr 2.63-2.65
S  0.7765  0.5828  0.7485  4 Mo 2.60-2.72, 2 Zr 2.63-2.65
S  0.0572  0.9428  0.7500  2 Zr 2.64, 4 Mo 2.66-2.71
S  0.4172  0.2235  0.7515  4 Mo 2.60-2.72, 2 Zr 2.63-2.65
Zr  0.5376  0.3717  0.1096  3 C 2.32-2.34
Zr  0.6283  0.4624  0.3904  3 C 2.32-2.34
Zr  0.3717  0.5376  0.6096  3 C 2.32-2.34
Zr  0.4624  0.6283  0.8904  3 C 2.32-2.34